# GGA-PBE Hf2CrSi, relaxed
data_Hf2CrSi
_space_group_name_H-M_alt 'P 1'
_space_group_IT_number 1
_space_group_name_Hall 'P 1'
_cell_length_a 7.327
_cell_length_b 7.327
_cell_length_c 5.907
_cell_angle_alpha 51.67
_cell_angle_beta 51.67
_cell_angle_gamma 90.00
loop_
_atom_site_label
_atom_site_type_symbol
_atom_site_fract_x
_atom_site_fract_y
_atom_site_fract_z
Hf1 Hf 0.618 0.125 0.250
Si1 Si 0.500 0.500 0.000
Cr1 Cr 0.750 0.250 0.500
Si2 Si 0.250 0.750 0.500
Cr2 Cr 0.000 0.000 0.000
Hf2 Hf 0.375 0.382 0.750
Hf3 Hf 0.875 0.868 0.750
Hf4 Hf 0.132 0.625 0.250
# - formation energy from raw total energies (meV/atom) = 349
# - symmetry = I-42d, No. 122
# - DFT total energy (eV/atom) = -8.39